The following is a PBE calculation of an optimized crystal structure of LaRh, from the Alexandria database.

The structure in CIF format:
```
data_LaRh
_space_group_name_H-M_alt 'I -4 3 m'
_space_group_IT_number 217
_space_group_name_Hall 'I -4 2 3'
_cell_length_a 8.285
_cell_length_b 8.285
_cell_length_c 8.285
_cell_angle_alpha 90.00
_cell_angle_beta 90.00
_cell_angle_gamma 90.00
loop_
_atom_site_label
_atom_site_type_symbol
_atom_site_fract_x
_atom_site_fract_y
_atom_site_fract_z
La1 La 0.213 0.213 0.787
Rh1 Rh 0.120 0.120 0.120
```

Output
E_form = -0.584 eV per formula unit

The following is a PBE calculation of an optimized crystal structure of Rb2AgMoIr, from the Alexandria database.

The structure in CIF format:
```
data_Rb2AgMoIr
_space_group_name_H-M_alt 'P 4/m m m'
_space_group_IT_number 123
_space_group_name_Hall '-P 4 2'
_cell_length_a 6.362
_cell_length_b 6.362
_cell_length_c 5.159
_cell_angle_alpha 90.00
_cell_angle_beta 90.00
_cell_angle_gamma 90.00
loop_
_atom_site_label
_atom_site_type_symbol
_atom_site_fract_x
_atom_site_fract_y
_atom_site_fract_z
Rb1 Rb 0.000 0.500 0.000
Ag1 Ag 0.000 0.000 0.500
Mo1 Mo 0.500 0.500 0.500
Ir1 Ir 0.000 0.000 0.000
```

Output
E_form = 8.531 eV per formula unit

The following is a PBE calculation of an optimized crystal structure of Na2ReSiN4, from the Alexandria database.

The structure in CIF format:
```
data_Na2ReSiN4
_space_group_name_H-M_alt 'P m n 21'
_space_group_IT_number 31
_space_group_name_Hall 'P 2ac -2'
_cell_length_a 6.303
_cell_length_b 6.385
_cell_length_c 5.493
_cell_angle_alpha 90.00
_cell_angle_beta 90.00
_cell_angle_gamma 90.00
loop_
_atom_site_label
_atom_site_type_symbol
_atom_site_fract_x
_atom_site_fract_y
_atom_site_fract_z
Na1 Na 0.246 0.157 0.000
Re1 Re 0.000 0.646 0.985
Si1 Si 0.000 0.358 0.490
N1 N 0.000 0.409 0.175
N2 N 0.000 0.594 0.655
N3 N 0.235 0.217 0.551
```

Output
Formation energy without anion corrections = -391.7 meV/atom

The following is a PBE calculation of an optimized crystal structure of Y2Pd17, from the Alexandria database.

The structure in CIF format:
```
data_Y2Pd17
_space_group_name_H-M_alt 'R -3 m'
_space_group_IT_number 166
_space_group_name_Hall '-R 3 2"'
_cell_length_a 9.1271
_cell_length_b 9.1271
_cell_length_c 13.5855
_cell_angle_alpha 90.00
_cell_angle_beta 90.00
_cell_angle_gamma 120.00
loop_
_atom_site_label
_atom_site_type_symbol
_atom_site_fract_x
_atom_site_fract_y
_atom_site_fract_z
Y1 Y 0.0000 0.0000 0.1722
Pd1 Pd 0.0000 0.0000 0.3993
Pd2 Pd 0.0000 0.3082 0.5000
Pd3 Pd 0.0000 0.5000 0.0000
Pd4 Pd 0.0056 0.5028 0.6552
```

Output
E_form = -5.694 eV per formula unit

The following is a PBE calculation of an optimized crystal structure of Sr5Tl2Pt, from the Alexandria database.

The structure in CIF format:
```
data_Sr5Tl2Pt
_space_group_name_H-M_alt 'P b a m'
_space_group_IT_number 55
_space_group_name_Hall '-P 2 2ab'
_cell_length_a 9.594
_cell_length_b 14.019
_cell_length_c 4.544
_cell_angle_alpha 90.00
_cell_angle_beta 90.00
_cell_angle_gamma 90.00
loop_
_atom_site_label
_atom_site_type_symbol
_atom_site_fract_x
_atom_site_fract_y
_atom_site_fract_z
Sr1 Sr 0.000 0.000 0.000
Sr2 Sr 0.153 0.311 0.000
Sr3 Sr 0.174 0.580 0.500
Tl1 Tl 0.057 0.824 0.500
Pt1 Pt 0.000 0.500 0.000
```

Output
E_form = -3.728 eV per formula unit

The following is a PBE calculation of an optimized crystal structure of TbCd6Ag2, from the Alexandria database.

The structure in CIF format:
```
data_TbCd6Ag2
_space_group_name_H-M_alt 'C 1 2/m 1'
_space_group_IT_number 12
_space_group_name_Hall '-C 2y'
_cell_length_a 15.033
_cell_length_b 8.426
_cell_length_c 3.257
_cell_angle_alpha 90.00
_cell_angle_beta 102.30
_cell_angle_gamma 90.00
loop_
_atom_site_label
_atom_site_type_symbol
_atom_site_fract_x
_atom_site_fract_y
_atom_site_fract_z
Tb1 Tb 0.000 0.000 0.000
Cd1 Cd 0.000 0.332 0.500
Cd2 Cd 0.175 0.175 0.675
Ag1 Ag 0.147 0.500 0.144
```

Output
E_form = -0.733 eV per formula unit

The following is a PBE calculation of an optimized crystal structure of KCd2HgAu, from the Alexandria database.

The structure in CIF format:
```
data_KCd2HgAu
_space_group_name_H-M_alt 'P 4/m m m'
_space_group_IT_number 123
_space_group_name_Hall '-P 4 2'
_cell_length_a 5.374
_cell_length_b 5.374
_cell_length_c 6.207
_cell_angle_alpha 90.00
_cell_angle_beta 90.00
_cell_angle_gamma 90.00
loop_
_atom_site_label
_atom_site_type_symbol
_atom_site_fract_x
_atom_site_fract_y
_atom_site_fract_z
K1 K 0.000 0.000 0.000
Cd1 Cd 0.000 0.500 0.500
Hg1 Hg 0.500 0.500 0.000
Au1 Au 0.000 0.000 0.500
```

Output
E_form = -0.420 eV per formula unit

The following is a PBE calculation of an optimized crystal structure of MnMoHOs, from the Alexandria database.

The structure in CIF format:
```
data_MnMoHOs
_space_group_name_H-M_alt 'I m m 2'
_space_group_IT_number 44
_space_group_name_Hall 'I 2 -2'
_cell_length_a 2.731
_cell_length_b 2.748
_cell_length_c 11.924
_cell_angle_alpha 90.00
_cell_angle_beta 90.00
_cell_angle_gamma 90.00
loop_
_atom_site_label
_atom_site_type_symbol
_atom_site_fract_x
_atom_site_fract_y
_atom_site_fract_z
Mn1 Mn 0.000 0.000 0.000
Mo1 Mo 0.000 0.000 0.691
H1 H 0.000 0.500 0.583
Os1 Os 0.000 0.000 0.357
```

Output
E_tot = -8.5471 eV per atom

The following is a PBE calculation of an optimized crystal structure of Fe2TcSbH, from the Alexandria database.

The structure in CIF format:
```
data_Fe2TcSbH
_space_group_name_H-M_alt 'P 4/m m m'
_space_group_IT_number 123
_space_group_name_Hall '-P 4 2'
_cell_length_a 3.907
_cell_length_b 3.907
_cell_length_c 3.938
_cell_angle_alpha 90.00
_cell_angle_beta 90.00
_cell_angle_gamma 90.00
loop_
_atom_site_label
_atom_site_type_symbol
_atom_site_fract_x
_atom_site_fract_y
_atom_site_fract_z
Fe1 Fe 0.000 0.500 0.000
Tc1 Tc 0.000 0.000 0.500
Sb1 Sb 0.500 0.500 0.500
H1 H 0.000 0.000 0.000
```

Output
E_tot = -6.8066 eV per atom

The following is a PBE calculation of an optimized crystal structure of LiFe2Ir, from the Alexandria database.

The structure in CIF format:
```
data_LiFe2Ir
_space_group_name_H-M_alt 'P m m m'
_space_group_IT_number 47
_space_group_name_Hall '-P 2 2'
_cell_length_a 2.609
_cell_length_b 3.878
_cell_length_c 5.050
_cell_angle_alpha 90.00
_cell_angle_beta 90.00
_cell_angle_gamma 90.00
loop_
_atom_site_label
_atom_site_type_symbol
_atom_site_fract_x
_atom_site_fract_y
_atom_site_fract_z
Li1 Li 0.000 0.000 0.000
Fe1 Fe 0.500 0.500 0.257
Ir1 Ir 0.000 0.000 0.500
```

Output
E_form = 0.322 eV per formula unit

Looking at calculated density for the records above, in order, we have 5649 4508 4752 10099 5662 8643 6126 12697 9181 10101 kg/m3.
Looking at magnetic moment for the records above, in order, we have 0.000 1.316 0.126 0.000 0.000 0.000 0.000 0.316 0.977 1.292 μB per atom.